The following is a DFT calculation (GGA+U) of Mg2W3O8 after structural relaxation.

Cell and atoms, written as CIF:
```
data_Mg2W3O8
_space_group_name_H-M_alt 'P 63 m c'
_space_group_IT_number 186
_space_group_name_Hall 'P 6c -2c'
_cell_length_a 6.3508
_cell_length_b 6.3508
_cell_length_c 9.4213
_cell_angle_alpha 90.00
_cell_angle_beta 90.00
_cell_angle_gamma 120.00
loop_
_atom_site_label
_atom_site_fract_x
_atom_site_fract_y
_atom_site_fract_z
Mg1 0.3333 0.6667 0.0000
Mg2 0.3333 0.6667 0.3816
W1 0.1644 0.3288 0.7133
O1 0.0000 0.0000 0.3262
O2 0.0398 0.5199 0.8394
O3 0.1688 0.3376 0.1164
O4 0.3333 0.6667 0.5939
```

Properties
As for the total energy: -92.520 eV per formula unit. The calculation puts the energy above the most stable polymorph in this dataset at 0.000 eV/atom.

***

The following is a DFT calculation (GGA+U) of Mg3WO after structural relaxation.

Cell and atoms, written as CIF:
```
data_Mg3WO
_space_group_name_H-M_alt 'P m -3 m'
_space_group_IT_number 221
_space_group_name_Hall '-P 4 2 3'
_cell_length_a 5.4667
_cell_length_b 5.4667
_cell_length_c 5.4667
_cell_angle_alpha 90.00
_cell_angle_beta 90.00
_cell_angle_gamma 90.00
loop_
_atom_site_label
_atom_site_fract_x
_atom_site_fract_y
_atom_site_fract_z
Mg1 0.0000 0.0000 0.5000
W1 0.0000 0.0000 0.0000
O1 0.5000 0.5000 0.5000
```

Properties
As for the total energy: -10.097 eV per formula unit. The calculation puts the energy above the most stable polymorph in this dataset at 1.740 eV/atom.

***

The following is a DFT calculation (GGA+U) of MgWO4 after structural relaxation.

Cell and atoms, written as CIF:
```
data_MgWO4
_space_group_name_H-M_alt 'P -4 2 c'
_space_group_IT_number 112
_space_group_name_Hall 'P -4 2c'
_cell_length_a 4.8202
_cell_length_b 4.8202
_cell_length_c 9.0576
_cell_angle_alpha 90.00
_cell_angle_beta 90.00
_cell_angle_gamma 90.00
loop_
_atom_site_label
_atom_site_fract_x
_atom_site_fract_y
_atom_site_fract_z
Mg1 0.0000 0.0000 0.0000
W1 0.0000 0.5000 0.2500
O1 0.1980 0.2717 0.3702
```

Properties
As for the total energy: -41.167 eV per formula unit.

***

The following is a DFT calculation (GGA+U) of MgW2O5 after structural relaxation.

Cell and atoms, written as CIF:
```
data_MgW2O5
_space_group_name_H-M_alt 'P -1'
_space_group_IT_number 2
_space_group_name_Hall '-P 1'
_cell_length_a 3.1849
_cell_length_b 5.3049
_cell_length_c 12.3549
_cell_angle_alpha 95.88
_cell_angle_beta 91.10
_cell_angle_gamma 90.05
loop_
_atom_site_label
_atom_site_fract_x
_atom_site_fract_y
_atom_site_fract_z
Mg1 0.2362 0.1178 0.2770
W1 0.2450 0.4159 0.8891
W2 0.2583 0.3812 0.6037
O1 0.2293 0.8125 0.1648
O2 0.2456 0.3532 0.4362
O3 0.2584 0.3457 0.0505
O4 0.2605 0.0624 0.6450
O5 0.2622 0.6158 0.7457
```

Properties
As for the total energy: -56.497 eV per formula unit. The calculation puts the energy above the most stable polymorph in this dataset at 0.000 eV/atom.

***

The following is a DFT calculation (GGA+U) of Mg2WO5 after structural relaxation.

Cell and atoms, written as CIF:
```
data_Mg2WO5
_space_group_name_H-M_alt 'C m c m'
_space_group_IT_number 63
_space_group_name_Hall '-C 2c 2'
_cell_length_a 3.8557
_cell_length_b 10.2459
_cell_length_c 10.1941
_cell_angle_alpha 90.00
_cell_angle_beta 90.00
_cell_angle_gamma 90.00
loop_
_atom_site_label
_atom_site_fract_x
_atom_site_fract_y
_atom_site_fract_z
Mg1 0.0000 0.1415 0.0565
W1 0.0000 0.1762 0.7500
O1 0.0000 0.0437 0.6227
O2 0.0000 0.2872 0.2500
O3 0.0000 0.2988 0.5960
```

Properties
As for the total energy: -54.282 eV per formula unit.

***

The following is a DFT calculation (GGA+U) of Mg3WO6 after structural relaxation.

Cell and atoms, written as CIF:
```
data_Mg3WO6
_space_group_name_H-M_alt 'P 1 21/c 1'
_space_group_IT_number 14
_space_group_name_Hall '-P 2ybc'
_cell_length_a 5.1863
_cell_length_b 5.3546
_cell_length_c 9.2580
_cell_angle_alpha 90.00
_cell_angle_beta 123.85
_cell_angle_gamma 90.00
loop_
_atom_site_label
_atom_site_fract_x
_atom_site_fract_y
_atom_site_fract_z
Mg1 0.0000 0.0000 0.0000
Mg2 0.2303 0.0479 0.7349
W1 0.5000 0.0000 0.5000
O1 0.1309 0.1757 0.4472
O2 0.2497 0.6960 0.4157
O3 0.3920 0.0788 0.2640
```

Properties
As for the total energy: -66.130 eV per formula unit. The calculation puts the energy above the most stable polymorph in this dataset at 0.037 eV/atom.

***

The following is a DFT calculation (GGA+U) of MgW2O5 after structural relaxation.

Cell and atoms, written as CIF:
```
data_MgW2O5
_space_group_name_H-M_alt 'C m c m'
_space_group_IT_number 63
_space_group_name_Hall '-C 2c 2'
_cell_length_a 3.7224
_cell_length_b 11.5304
_cell_length_c 10.9020
_cell_angle_alpha 90.00
_cell_angle_beta 90.00
_cell_angle_gamma 90.00
loop_
_atom_site_label
_atom_site_fract_x
_atom_site_fract_y
_atom_site_fract_z
Mg1 0.0000 0.0834 0.2500
W1 0.0000 0.1944 0.6347
O1 0.0000 0.0398 0.6197
O2 0.0000 0.2545 0.0909
O3 0.0000 0.3466 0.7500
```

Properties
As for the total energy: -54.949 eV per formula unit. The calculation puts the energy above the most stable polymorph in this dataset at 0.193 eV/atom.

***

The following is a DFT calculation (GGA+U) of MgW4O9 after structural relaxation.

Cell and atoms, written as CIF:
```
data_MgW4O9
_space_group_name_H-M_alt 'P 4/n'
_space_group_IT_number 85
_cell_length_a 9.7274
_cell_length_b 9.7274
_cell_length_c 3.9044
_cell_angle_alpha 90.00
_cell_angle_beta 90.00
_cell_angle_gamma 90.00
loop_
_space_group_symop_operation_xyz
'x,y,z'
'-x,-y,-z'
'-y+1/2,x,z'
'y+1/2,-x,-z'
'-x+1/2,-y+1/2,z'
'x+1/2,y+1/2,-z'
'y,-x+1/2,z'
'-y,x+1/2,-z'
loop_
_atom_site_label
_atom_site_fract_x
_atom_site_fract_y
_atom_site_fract_z
Mg1 0.2500 0.2500 0.0034
W1 0.0310 0.8356 0.4977
O1 0.0177 0.3724 0.5016
O2 0.0313 0.1874 0.0021
O3 0.2500 0.7500 0.5000
```

Properties
As for the total energy: -99.148 eV per formula unit.

***

Quick rundown of volume, same order as above: 329.1; 163.4; 210.4; 207.6; 402.7; 213.5; 467.9; 369.4 Å³/cell